No. 1
Ti3ZnRh (GGA-PBE, relaxed); space group = No. 221; DOS at the Fermi energy = 8.5 states/eV per cell; E_form = 821 meV per atom; ρ = 5.406 g/cm³
1.0
4.576 0.000 0.000
0.000 4.576 0.000
0.000 0.000 4.576
Ti Zn Rh
3 1 1
Cartesian
0.000 0.000 2.288
0.000 2.288 0.000
2.288 0.000 0.000
0.000 0.000 0.000
2.288 2.288 2.288

=====

No. 2
Li2AsRh2 (GGA-PBE, relaxed); space group = No. 12; DOS at the Fermi energy = 4.6 states/eV per cell; E_form = -323 meV per atom; ρ = 6.056 g/cm³
1.0
7.304 0.000 0.000
0.000 4.250 0.000
-0.002 0.000 5.204
Li As Rh
4 2 4
Cartesian
1.234 0.000 1.970
2.417 2.125 3.235
4.886 2.125 1.970
6.069 0.000 3.235
0.000 2.125 0.000
3.652 0.000 0.000
1.214 0.000 4.616
2.436 2.125 0.588
4.866 2.125 4.616
6.088 0.000 0.588

=====

No. 3
MgAg2PBr (GGA-PBE, relaxed); space group = No. 123; DOS at the Fermi energy = 2.0 states/eV per cell; formation energy (no corrections) = 0.80 eV per atom; ρ = 4.294 g/cm³
1.0
5.054 0.000 0.000
0.000 5.054 0.000
0.000 0.000 5.314
Mg Ag P Br
1 2 1 1
Cartesian
0.000 0.000 0.000
0.000 2.527 2.657
2.527 0.000 2.657
2.527 2.527 0.000
2.527 2.527 2.657

=====

No. 4
BSe2S (GGA-PBE, relaxed); space group = No. 166; DOS at the Fermi energy = 4.2 states/eV per cell; formation energy (no corrections) = 0.63 eV per atom; ρ = 4.623 g/cm³
1.0
3.365 0.000 0.000
-1.682 2.914 0.000
0.000 0.000 22.066
B Se S
3 6 3
Cartesian
0.000 0.000 0.000
0.000 1.943 14.711
1.682 0.971 7.355
0.000 0.000 8.623
0.000 0.000 13.442
0.000 1.943 1.268
0.000 1.943 6.087
1.682 0.971 15.979
1.682 0.971 20.798
0.000 0.000 11.033
0.000 1.943 3.678
1.682 0.971 18.388

=====

No. 5
Cd8CuHg2 (GGA-PBE, relaxed); space group = No. 12; DOS at the Fermi energy = 3.2 states/eV per cell; E_form = 31 meV per atom; ρ = 9.026 g/cm³
1.0
9.756 -2.360 0.000
9.756 2.360 0.000
-1.421 0.000 5.450
Cd Cu Hg
8 1 2
Cartesian
0.074 0.000 1.441
4.500 0.000 0.856
5.824 0.000 4.333
7.737 0.000 1.847
10.352 0.000 3.604
12.266 0.000 1.118
13.590 0.000 4.595
18.016 0.000 4.009
9.756 0.000 0.000
2.555 0.000 3.204
15.535 0.000 2.247

=====

No. 6
KReSe (GGA-PBE, relaxed); space group = No. 107; DOS at the Fermi energy = 5.9 states/eV per cell; formation energy (no corrections) = 0.38 eV per atom; ρ = 7.556 g/cm³
1.0
3.240 0.000 0.000
0.000 3.240 0.000
0.000 0.000 12.738
K Re Se
2 2 2
Cartesian
0.000 0.000 0.000
1.620 1.620 6.369
0.000 0.000 9.046
1.620 1.620 2.677
0.000 0.000 3.734
1.620 1.620 10.103

=====

No. 7
ZrPd6Au (GGA-PBE, relaxed); space group = No. 123; DOS at the Fermi energy = 7.2 states/eV per cell; E_form = -466 meV per atom; ρ = 11.840 g/cm³
1.0
5.689 0.000 0.000
0.000 5.689 0.000
0.000 0.000 4.016
Zr Pd Au
1 6 1
Cartesian
0.000 0.000 0.000
0.000 2.844 0.000
1.412 1.412 2.008
1.412 4.276 2.008
2.844 0.000 0.000
4.276 1.412 2.008
4.276 4.276 2.008
2.844 2.844 0.000

=====

No. 8
SrCuRuF2 (GGA-PBE, relaxed); space group = No. 123; DOS at the Fermi energy = 2.6 states/eV per cell; formation energy (no corrections) = -0.88 eV per atom; ρ = 5.404 g/cm³
1.0
4.327 0.000 0.000
0.000 4.327 0.000
0.000 0.000 4.762
Sr Cu Ru F
1 1 1 2
Cartesian
0.000 0.000 0.000
2.164 2.164 0.000
2.164 2.164 2.381
0.000 2.164 2.381
2.164 0.000 2.381

=====

> Look up the DOS at the Fermi energy of the fifth one.

3.2 states/eV per cell